(1)
# Li4Ti3Ni3O12

Li4Ti3Ni3O12 at its PBEsol-relaxed geometry (meta-GGA SCAN, the Alexandria database).

The structure in CIF format:
```
data_Li4Ti3Ni3O12
_cell_length_a 14.008
_cell_length_b 5.591
_cell_length_c 5.129
_cell_angle_alpha 90.00
_cell_angle_beta 94.39
_cell_angle_gamma 90.00
_space_group_name_H-M_alt 'C 1 2 1'
_space_group_IT_number 5
_space_group_name_Hall 'C 2y'
loop_
_atom_site_label
_atom_site_fract_x
_atom_site_fract_y
_atom_site_fract_z
Li1 0.000 0.000 0.000
Li2 0.000 0.261 0.500
Li3 0.170 0.754 0.830
Ti1 0.000 0.487 0.000
Ti2 0.171 0.987 0.344
Ni1 0.000 0.755 0.500
Ni2 0.167 0.259 0.834
O1 0.073 0.760 0.201
O2 0.075 0.513 0.701
O3 0.088 0.250 0.135
O4 0.089 0.005 0.640
O5 0.239 0.007 0.036
O6 0.243 0.251 0.526
```

Output
Formation energy from raw total energies, eV/atom: -2.356
Density of states at the Fermi level, states/eV/cell: 0.3
Total energy, eV per atom: -10.581

=====

(2)
# Cd3Ge

Cd3Ge at its PBEsol-relaxed geometry (meta-GGA SCAN, the Alexandria database).

The structure in CIF format:
```
data_Cd3Ge
_cell_length_a 4.344
_cell_length_b 4.344
_cell_length_c 8.663
_cell_angle_alpha 90.00
_cell_angle_beta 90.00
_cell_angle_gamma 90.00
_space_group_name_H-M_alt 'I 4/m m m'
_space_group_IT_number 139
_space_group_name_Hall '-I 4 2'
loop_
_atom_site_label
_atom_site_fract_x
_atom_site_fract_y
_atom_site_fract_z
Cd1 0.000 0.000 0.000
Cd2 0.000 0.500 0.250
Ge1 0.000 0.000 0.500
```

Output
Energy of formation from the pure elements, meV per atom: 131
Density of states at the Fermi level, states/eV/cell: 2.1
Total energy, eV per atom: -27.452

=====

Volume for every record listed, in sequence, given in Å³/cell: 400, 163.